# 1
Below is Ac2PuH8 after structural relaxation, with properties calculated at the GGA-PBE level.

Unit cell a=4.0241 b=5.6259 c=6.9058 alpha=114.04 beta=106.94 gamma=90.00
Last column: magnetic moment on the atom in μB.
Fractional positions:
1 H 0.6514 0.4017 0.3028  -0.01
2 H 0.0000 0.2411 0.0000  -0.01
3 Ac 0.8303 0.3303 0.6607  0.03
4 Ac 0.1697 0.6697 0.3393  0.03
5 H 0.3486 0.5983 0.6972  -0.01
6 H 0.6514 0.9010 0.3028  -0.01
7 H 0.8315 0.8315 0.6630  -0.01
8 H 0.3486 0.0990 0.6972  -0.01
9 Pu 0.5000 0.0000 0.0000  5.28
10 H 0.0000 0.7589 0.0000  -0.01
11 H 0.1685 0.1685 0.3370  -0.01

symmetry: Immm, No. 71
energy: -4.9736 eV/atom
V: 135.32 Å³/cell

***

# 2
Below is Na2Cd6In3 after structural relaxation, with properties calculated at the GGA-PBE level.

Unit cell a=3.8488 b=8.9987 c=8.9989 alpha=95.81 beta=90.00 gamma=90.00
Fractional positions:
1 Cd 0.5000 0.3847 0.3847
2 Cd 0.5000 0.6153 0.6153
3 Cd 0.5000 0.0105 0.6570
4 Na 0.0000 0.6854 0.3146
5 In 0.5000 0.0000 0.0000
6 Cd 0.5000 0.3430 0.9895
7 In 0.0000 0.2009 0.2009
8 In 0.0000 0.7991 0.7991
9 Na 0.0000 0.3146 0.6854
10 Cd 0.5000 0.9895 0.3430
11 Cd 0.5000 0.6570 0.0105

symmetry: Cmmm, No. 65
energy: -1.4375 eV/atom
DFT formation energy: 0.048 eV/atom
V: 310.07 Å³/cell

***

# 3
Below is Sm3Tl4BiTe8 after structural relaxation, with properties calculated at the GGA-PBE level.

Unit cell a=9.0873 b=9.6841 c=9.0878 alpha=117.99 beta=120.00 gamma=90.00
Fractional positions:
1 Te 0.2607 0.2821 0.5214
2 Te 0.2402 0.7184 0.9782
3 Te 0.7598 0.2816 0.0218
4 Tl 0.0000 0.0000 0.0000
5 Tl 0.0000 0.0000 0.5000
6 Bi 0.0000 0.5000 0.0000
7 Sm 0.5000 0.5000 0.5000
8 Te 0.7598 0.2816 0.5197
9 Sm 0.5000 0.5000 0.0000
10 Tl 0.5000 0.0000 0.5000
11 Te 0.2402 0.7184 0.4803
12 Tl 0.5000 0.0000 0.0000
13 Sm 0.0000 0.5000 0.5000
14 Te 0.7393 0.7179 0.4786
15 Te 0.7381 0.7184 0.9782
16 Te 0.2619 0.2816 0.0218

symmetry: R-3m, No. 166
formation energy (no corrections): -0.87 eV per atom
energy: -4.1638 eV/atom
V: 582.10 Å³/cell

***

# 4
Below is Zr2NiHPd after structural relaxation, with properties calculated at the GGA-PBE level.

Unit cell a=4.4148 b=4.4148 c=3.7831 alpha=90.00 beta=90.00 gamma=90.00
Fractional positions:
1 Ni 0.5000 0.5000 0.5000
2 Zr 0.0000 0.5000 0.0000
3 H 0.0000 0.0000 0.0000
4 Pd 0.0000 0.0000 0.5000
5 Zr 0.5000 0.0000 0.0000

symmetry: P4/mmm, No. 123
energy above the lowest structure with this stoichiometry: 86 meV/atom
energy: -6.6429 eV/atom
V: 73.73 Å³/cell

***

# 5
Below is LaCd2Co2 after structural relaxation, with properties calculated at the GGA-PBE level.

Unit cell a=4.2269 b=4.2269 c=6.4110 alpha=70.75 beta=70.75 gamma=90.00
Last column: magnetic moment on the atom in μB.
Fractional positions:
1 Co 0.5957 0.5957 0.8086  1.02
2 Cd 0.2500 0.7500 0.5000  -0.02
3 Co 0.4043 0.4043 0.1914  1.02
4 La 0.0000 0.0000 0.0000  -0.15
5 Cd 0.7500 0.2500 0.5000  -0.02

symmetry: I4/mmm, No. 139
energy above the lowest structure with this stoichiometry: 0 meV/atom
energy: -4.1870 eV/atom
DFT formation energy: 0.007 eV/atom
V: 101.33 Å³/cell

***

# 6
Below is LaP2Rh5 after structural relaxation, with properties calculated at the GGA-PBE level.

Unit cell a=3.9520 b=6.1790 c=6.1790 alpha=66.79 beta=71.35 gamma=71.35
Fractional positions:
1 Rh 0.0000 0.5000 0.5000
2 P 0.2392 0.2608 0.2608
3 Rh 0.6513 0.1483 0.5492
4 Rh 0.6513 0.5492 0.1483
5 Rh 0.3487 0.8517 0.4508
6 La 0.0000 0.0000 0.0000
7 Rh 0.3487 0.4508 0.8517
8 P 0.7608 0.7392 0.7392

symmetry: Immm, No. 71
energy: -7.4192 eV/atom
DFT formation energy: -0.856 eV/atom
V: 128.10 Å³/cell

***

# 7
Below is BPb after structural relaxation, with properties calculated at the GGA-PBE level.

Unit cell a=6.5950 b=6.5950 c=4.0412 alpha=90.00 beta=90.00 gamma=90.00
Fractional positions:
1 B 0.0869 0.0869 0.5000
2 B 0.5869 0.4131 0.0000
3 Pb 0.7673 0.7673 0.0000
4 Pb 0.2327 0.2327 0.0000
5 B 0.4131 0.5869 0.0000
6 Pb 0.7327 0.2673 0.5000
7 B 0.9131 0.9131 0.5000
8 Pb 0.2673 0.7327 0.5000

symmetry: P4_2/mnm, No. 136
energy above the lowest structure with this stoichiometry: 125 meV/atom
energy: -4.2565 eV/atom
DFT formation energy: 0.936 eV/atom
V: 175.77 Å³/cell

***

# 8
Below is PaAgH8Ir2 after structural relaxation, with properties calculated at the GGA-PBE level.

Unit cell a=4.2060 b=4.8862 c=6.5072 alpha=60.52 beta=71.14 gamma=64.51
Last column: magnetic moment on the atom in μB.
Fractional positions:
1 H 0.0694 0.5047 0.3565  0.00
2 H 0.7059 0.4621 0.1261  0.00
3 Ag 0.0000 0.0000 0.0000  0.00
4 Pa 0.5000 0.5000 0.5000  0.29
5 H 0.9306 0.4953 0.6435  0.00
6 Ir 0.7315 0.7075 0.8295  0.00
7 H 0.0497 0.0268 0.3359  0.00
8 H 0.2941 0.5379 0.8739  0.00
9 H 0.4124 0.9732 0.6641  0.00
10 H 0.5876 0.0268 0.3359  0.00
11 Ir 0.2685 0.2925 0.1705  0.00
12 H 0.9503 0.9732 0.6641  0.00

symmetry: C2/m, No. 12
energy: -4.7633 eV/atom
V: 104.02 Å³/cell

***

# 9
Below is RbPrCd after structural relaxation, with properties calculated at the GGA-PBE level.

Unit cell a=3.9307 b=3.8515 c=18.7019 alpha=90.00 beta=90.00 gamma=120.68
Fractional positions:
1 Cd 0.3255 0.6509 0.5000
2 Pr 0.6647 0.3294 0.3690
3 Pr 0.6647 0.3294 0.6310
4 Rb 0.2238 0.4477 0.1645
5 Rb 0.2238 0.4477 0.8355
6 Cd 0.5641 0.1282 0.0000

symmetry: Amm2, No. 38
energy: -2.0386 eV/atom
DFT formation energy: 0.182 eV/atom
V: 243.49 Å³/cell

***

# 10
Below is PmZrIr2 after structural relaxation, with properties calculated at the GGA-PBE level.

Unit cell a=3.3717 b=3.3717 c=7.0376 alpha=90.00 beta=90.00 gamma=90.00
Fractional positions:
1 Ir 0.0000 0.0000 0.7821
2 Pm 0.5000 0.5000 0.5000
3 Ir 0.0000 0.0000 0.2179
4 Zr 0.5000 0.5000 0.0000

symmetry: P4/mmm, No. 123
energy above the lowest structure with this stoichiometry: 0 meV/atom
energy: -8.4687 eV/atom
DFT formation energy: -0.714 eV/atom
V: 80.01 Å³/cell

***

# 11
Below is RbPOs after structural relaxation, with properties calculated at the GGA-PBE level.

Unit cell a=3.9403 b=3.9403 c=11.3722 alpha=99.98 beta=99.98 gamma=90.00
Fractional positions:
1 Os 0.5000 0.0000 0.0000
2 Os 0.0000 0.5000 0.0000
3 Rb 0.6452 0.6452 0.2903
4 P 0.0642 0.0642 0.1284
5 Rb 0.3548 0.3548 0.7097
6 P 0.9358 0.9358 0.8716

symmetry: I4/mmm, No. 139
energy: -5.9077 eV/atom
DFT formation energy: -0.039 eV/atom
V: 171.18 Å³/cell

***

# 12
Below is HgSbPO6 after structural relaxation, with properties calculated at the GGA-PBE level.

Unit cell a=5.0125 b=5.0125 c=5.0379 alpha=90.00 beta=90.00 gamma=60.00
Fractional positions:
1 O 0.0385 0.3589 0.2983
2 O 0.6025 0.3589 0.7017
3 Hg 0.0000 0.0000 0.0000
4 O 0.3589 0.6026 0.2983
5 O 0.3589 0.0385 0.7017
6 Sb 0.6666 0.6667 0.5000
7 O 0.6025 0.0385 0.2983
8 O 0.0385 0.6026 0.7017
9 P 0.3333 0.3333 0.5000

symmetry: P312, No. 149
formation energy (no corrections): -1.30 eV per atom
energy: -5.6990 eV/atom
V: 109.62 Å³/cell